Record 1
Crystalline TaHg2Mo at its relaxed geometry. Source: the Alexandria database, functional PBE-GGA.

a b c (Å): 2.882 2.882 9.301
angles (deg): 90.00 90.00 90.00
Space group P4mm (No. 99)
One atom of each set of equivalent atoms:
Ta: 0.000 0.000 0.000
Hg: 0.000 0.000 0.528
Hg: 0.500 0.500 0.247
Mo: 0.500 0.500 0.770

Output
energy above the lowest structure with this stoichiometry: 134 meV per atom
energy of formation: 0.434 eV per atom

Record 2
Crystalline TaHg2Mo at its relaxed geometry. Source: the Alexandria database, functional PBE-GGA.

a b c (Å): 2.876 2.876 8.968
angles (deg): 90.00 90.00 90.00
Space group P4/mmm (No. 123)
One atom of each set of equivalent atoms:
Ta: 0.000 0.000 0.000
Hg: 0.500 0.500 0.254
Mo: 0.000 0.000 0.500

Output
energy above the lowest structure with this stoichiometry: 217 meV per atom
energy of formation: 0.516 eV per atom

Record 3
Crystalline TaHg2Mo at its relaxed geometry. Source: the Alexandria database, functional PBE-GGA.

a b c (Å): 3.244 4.961 9.649
angles (deg): 90.00 90.00 90.00
Space group Imm2 (No. 44)
One atom of each set of equivalent atoms:
Ta: 0.000 0.000 0.000
Hg: 0.000 0.000 0.531
Hg: 0.000 0.500 0.768
Mo: 0.000 0.500 0.295

Output
energy above the lowest structure with this stoichiometry: 149 meV per atom
energy of formation: 0.449 eV per atom

Record 4
Crystalline TaHg2Mo at its relaxed geometry. Source: the Alexandria database, functional PBE-GGA.

a b c (Å): 2.871 4.484 5.745
angles (deg): 90.00 90.17 90.00
Space group P2/m (No. 10)
One atom of each set of equivalent atoms:
Ta: 0.000 0.000 0.000
Hg: 0.500 0.500 0.252
Mo: 0.000 0.000 0.500

Output
energy above the lowest structure with this stoichiometry: 170 meV per atom
energy of formation: 0.470 eV per atom

Record 5
Crystalline TaHgMo2 at its relaxed geometry. Source: the Alexandria database, functional PBE-GGA.

a b c (Å): 6.542 6.542 6.542
angles (deg): 90.00 90.00 90.00
Space group F-43m (No. 216)
One atom of each set of equivalent atoms:
Ta: 0.000 0.000 0.000
Hg: 0.250 0.250 0.250
Mo: 0.000 0.000 0.500
Mo: 0.250 0.250 0.750

Output
energy of formation: 0.475 eV per atom

Record 6
Crystalline TaHg2Mo at its relaxed geometry. Source: the Alexandria database, functional PBE-GGA.

a b c (Å): 2.860 4.337 6.143
angles (deg): 90.00 90.00 90.00
Space group Pmm2 (No. 25)
One atom of each set of equivalent atoms:
Ta: 0.000 0.000 0.000
Hg: 0.000 0.000 0.527
Hg: 0.500 0.500 0.262
Mo: 0.500 0.500 0.785

Output
energy above the lowest structure with this stoichiometry: 190 meV per atom
energy of formation: 0.490 eV per atom

Record 7
Crystalline TaHg2Mo at its relaxed geometry. Source: the Alexandria database, functional PBE-GGA.

a b c (Å): 2.9831 2.9831 29.3973
angles (deg): 90.00 90.00 120.00
Space group R-3m (No. 166, hexagonal axes)
One atom of each set of equivalent atoms:
Ta: 0.0000 0.0000 0.0000
Hg: 0.0000 0.0000 0.2483
Mo: 0.0000 0.0000 0.5000

Output
energy above the lowest structure with this stoichiometry: 241 meV per atom
energy of formation: 0.540 eV per atom

Record 8
Crystalline TaHg2Mo at its relaxed geometry. Source: the Alexandria database, functional PBE-GGA.

a b c (Å): 9.921 2.850 5.346
angles (deg): 90.00 95.89 90.00
Space group Cm (No. 8)
One atom of each set of equivalent atoms:
Ta: 0.000 0.000 0.000
Hg: 0.251 0.000 0.735
Hg: 0.496 0.000 0.486
Mo: 0.248 0.500 0.221

Output
energy above the lowest structure with this stoichiometry: 219 meV per atom
energy of formation: 0.518 eV per atom

Record 9
Crystalline TaHg2Mo at its relaxed geometry. Source: the Alexandria database, functional PBE-GGA.

a b c (Å): 10.039 3.152 4.872
angles (deg): 90.00 102.04 90.00
Space group C2/m (No. 12)
One atom of each set of equivalent atoms:
Ta: 0.000 0.000 0.000
Hg: 0.248 0.000 0.747
Mo: 0.000 0.500 0.500

Output
energy above the lowest structure with this stoichiometry: 194 meV per atom
energy of formation: 0.493 eV per atom

Record 10
Crystalline TaHgMo2 at its relaxed geometry. Source: the Alexandria database, functional PBE-GGA.

a b c (Å): 7.413 7.413 5.577
angles (deg): 90.00 90.00 90.00
Space group I-42d (No. 122)
One atom of each set of equivalent atoms:
Ta: 0.000 0.000 0.000
Hg: 0.000 0.000 0.500
Mo: 0.229 0.250 0.125

Output
energy of formation: 0.990 eV per atom

Record 11
Crystalline TaHgMo2 at its relaxed geometry. Source: the Alexandria database, functional PBE-GGA.

a b c (Å): 9.698 2.749 5.290
angles (deg): 90.00 95.91 90.00
Space group Cm (No. 8)
One atom of each set of equivalent atoms:
Ta: 0.000 0.000 0.000
Hg: 0.252 0.000 0.748
Mo: 0.005 0.500 0.491
Mo: 0.252 0.500 0.255

Output
energy of formation: 0.424 eV per atom

Record 12
Crystalline TaHg4Mo at its relaxed geometry. Source: the Alexandria database, functional PBE-GGA.

a b c (Å): 7.843 7.843 7.843
angles (deg): 90.00 90.00 90.00
Space group F-43m (No. 216)
One atom of each set of equivalent atoms:
Ta: 0.000 0.000 0.000
Hg: 0.125 0.125 0.625
Mo: 0.250 0.250 0.250

Output
energy of formation: 0.878 eV per atom

Record 13
Crystalline TaHgMo2 at its relaxed geometry. Source: the Alexandria database, functional PBE-GGA.

a b c (Å): 2.755 2.755 9.337
angles (deg): 90.00 90.00 90.00
Space group P4mm (No. 99)
One atom of each set of equivalent atoms:
Ta: 0.000 0.000 0.000
Hg: 0.500 0.500 0.260
Mo: 0.000 0.000 0.513
Mo: 0.500 0.500 0.755

Output
energy of formation: 0.437 eV per atom

Record 14
Crystalline Ta2HgMo2 at its relaxed geometry. Source: the Alexandria database, functional PBE-GGA.

a b c (Å): 3.699 3.699 14.158
angles (deg): 90.00 90.00 90.00
Space group I4/mmm (No. 139)
One atom of each set of equivalent atoms:
Ta: 0.000 0.000 0.100
Hg: 0.000 0.000 0.500
Mo: 0.000 0.500 0.250

Output
energy above the lowest structure with this stoichiometry: 254 meV per atom
energy of formation: 0.788 eV per atom

Record 15
Crystalline TaHg2Mo at its relaxed geometry. Source: the Alexandria database, functional PBE-GGA.

a b c (Å): 2.913 4.485 5.911
angles (deg): 90.00 97.86 90.00
Space group Pm (No. 6)
One atom of each set of equivalent atoms:
Ta: 0.000 0.000 0.000
Hg: 0.549 0.500 0.242
Hg: 0.679 0.000 0.526
Mo: 0.225 0.500 0.766

Output
energy above the lowest structure with this stoichiometry: 154 meV per atom
energy of formation: 0.453 eV per atom

Record 16
Crystalline TaHgMo2 at its relaxed geometry. Source: the Alexandria database, functional PBE-GGA.

a b c (Å): 4.032 4.032 8.587
angles (deg): 90.00 90.00 90.00
Space group I4/mmm (No. 139)
One atom of each set of equivalent atoms:
Ta: 0.000 0.000 0.000
Hg: 0.000 0.000 0.500
Mo: 0.000 0.500 0.250

Output
energy of formation: 0.462 eV per atom

Record 17
Crystalline TaHg2Mo at its relaxed geometry. Source: the Alexandria database, functional PBE-GGA.

a b c (Å): 4.051 4.051 9.006
angles (deg): 90.00 90.00 90.00
Space group I4/mmm (No. 139)
One atom of each set of equivalent atoms:
Ta: 0.000 0.000 0.000
Hg: 0.000 0.500 0.250
Mo: 0.000 0.000 0.500

Output
energy above the lowest structure with this stoichiometry: 151 meV per atom
energy of formation: 0.451 eV per atom

Record 18
Crystalline TaHgMo2 at its relaxed geometry. Source: the Alexandria database, functional PBE-GGA.

a b c (Å): 2.839 4.402 5.781
angles (deg): 90.00 101.63 90.00
Space group Pm (No. 6)
One atom of each set of equivalent atoms:
Ta: 0.000 0.000 0.000
Hg: 0.568 0.500 0.274
Mo: 0.105 0.000 0.553
Mo: 0.511 0.500 0.763

Output
energy of formation: 0.301 eV per atom

Record 19
Crystalline TaHgMo2 at its relaxed geometry. Source: the Alexandria database, functional PBE-GGA.

a b c (Å): 3.283 4.622 9.305
angles (deg): 90.00 90.00 90.00
Space group Cmm2 (No. 35)
One atom of each set of equivalent atoms:
Ta: 0.000 0.000 0.000
Hg: 0.000 0.500 0.729
Mo: 0.000 0.000 0.463
Mo: 0.000 0.500 0.237

Output
energy of formation: 0.236 eV per atom

Record 20
Crystalline TaHgMo2 at its relaxed geometry. Source: the Alexandria database, functional PBE-GGA.

a b c (Å): 5.707 9.260 2.779
angles (deg): 90.00 108.15 90.00
Space group C2/m (No. 12)
One atom of each set of equivalent atoms:
Ta: 0.000 0.000 0.000
Hg: 0.000 0.500 0.000
Mo: 0.250 0.250 0.500

Output
energy of formation: 0.366 eV per atom